# TaBeSi4 GGA-PBE relaxed
data_TaBeSi4
_chemical_formula_sum 'Ta4 Be4 Si16'
_cell_length_a 6.8497
_cell_length_b 6.8497
_cell_length_c 6.8497
_cell_angle_alpha 90.00
_cell_angle_beta 90.00
_cell_angle_gamma 90.00
_symmetry_space_group_name_H-M 'F -4 3 m'
_symmetry_Int_Tables_number 216
_symmetry_space_group_name_Hall 'F -4 2 3'
loop_
_atom_site_label
_atom_site_type_symbol
_atom_site_fract_x
_atom_site_fract_y
_atom_site_fract_z
Ta1 Ta 0.0000 0.0000 0.0000
Be1 Be 0.2500 0.2500 0.7500
Si1 Si 0.1254 0.1254 0.3746
# Spin magnetization, Bohr magnetons per cell: 0.0
# Calculated volume, Å³/cell: 321.4
# Uncorrected formation energy, eV/f.u.: 2.0